[1]
La6Pt3BrCl2: relaxed, PBE.

Calculated values
Its electronic total energy is -5.829 eV per atom. As for the space group: No. 12. The value obtained for the volume is 30.34 Å³/atom.

Structure (POSCAR):
```
La6Pt3BrCl2
1.0
9.784 -2.154 0.000
9.784 2.154 0.000
-2.922 0.000 8.635
La Pt Br Cl
6 3 1 2
Cartesian
-0.450 0.000 1.937
5.012 0.000 3.798
4.095 0.000 7.736
12.552 0.000 0.899
11.634 0.000 4.837
17.096 0.000 6.698
2.292 0.000 2.862
9.784 0.000 0.000
14.354 0.000 5.773
8.323 0.000 4.318
0.835 0.000 7.200
15.811 0.000 1.435
```

[2]
KLiPuI6: relaxed, PBE.

Calculated values
Its electronic total energy is -4.026 eV per atom. As for the space group: No. 163. The value obtained for the volume is 45.40 Å³/atom.

Structure (POSCAR):
```
KLiPuI6
1.0
7.747 0.000 0.000
-3.873 6.709 0.000
0.000 0.000 15.723
K Li Pu I
2 2 2 12
Cartesian
0.000 0.000 0.000
0.000 0.000 7.862
0.000 4.473 3.931
3.873 2.236 11.792
0.000 4.473 11.792
3.873 2.236 3.931
-1.404 2.446 10.059
-2.458 4.270 13.525
1.404 2.446 13.525
-1.053 6.702 10.059
2.820 0.007 2.198
1.416 2.439 5.664
2.458 4.270 10.059
1.053 6.702 13.525
4.927 0.007 5.664
2.469 4.263 2.198
6.331 2.439 2.198
5.278 4.263 5.664
```

[3]
Y2ScSnB: relaxed, PBE.

Calculated values
For the formation energy, the calculation gives -533 meV per atom. The polymorph energy (0 for the lowest one) comes out at 0.000 eV/atom. As for the space group: No. 123. The value obtained for the volume is 23.67 Å³/atom.

Structure (POSCAR):
```
Y2ScSnB
1.0
5.006 0.000 0.000
0.000 5.006 0.000
0.000 0.000 4.724
Y Sc Sn B
2 1 1 1
Cartesian
0.000 2.503 0.000
2.503 0.000 0.000
0.000 0.000 2.362
2.503 2.503 2.362
0.000 0.000 0.000
```

[4]
HfGa3Rh4: relaxed, PBE.

Calculated values
For the formation energy, the calculation gives -806 meV per atom. As for the space group: No. 123. The value obtained for the volume is 14.81 Å³/atom.

Structure (POSCAR):
```
HfGa3Rh4
1.0
4.217 0.000 0.000
0.000 4.217 0.000
0.000 0.000 6.661
Hf Ga Rh
1 3 4
Cartesian
0.000 0.000 0.000
0.000 0.000 3.330
2.109 2.109 0.000
2.109 2.109 3.330
0.000 2.109 1.749
0.000 2.109 4.912
2.109 0.000 1.749
2.109 0.000 4.912
```

[5]
Sc3ZnC: relaxed, PBE.

Calculated values
For the formation energy, the calculation gives 177 meV per atom. The polymorph energy (0 for the lowest one) comes out at 0.615 eV/atom. As for the space group: No. 63. The value obtained for the volume is 20.82 Å³/atom.

Structure (POSCAR):
```
Sc3ZnC
1.0
3.054 -5.458 0.000
3.054 5.458 0.000
0.000 0.000 6.246
Sc Zn C
6 2 2
Cartesian
0.000 0.000 0.000
0.000 0.000 3.123
1.543 2.550 4.684
1.543 -2.550 1.561
4.565 2.550 4.684
4.565 -2.550 1.561
3.054 0.301 1.561
3.054 -0.301 4.684
3.054 3.953 4.684
3.054 -3.953 1.561
```

[6]
LiNdGdSb: relaxed, PBE.

Calculated values
Its electronic total energy is -6.712 eV per atom. As for the space group: No. 216. The value obtained for the volume is 26.49 Å³/atom.

Structure (POSCAR):
```
LiNdGdSb
1.0
0.000 3.756 3.756
3.756 0.000 3.756
3.756 3.756 0.000
Li Nd Gd Sb
1 1 1 1
Cartesian
0.000 0.000 0.000
1.878 1.878 1.878
5.634 5.634 5.634
3.756 3.756 3.756
```